Record 1
Compound: NaSrSe2
Source: Alexandria
Functional: PBE-GGA
Structure: relaxed

SG: Fm-3m
ΔE_f (raw) in eV/atom: -1.2140
Total DFT energy (no corrections) in eV per atom: -3.706

Structure (extended XYZ):
```
4
Lattice="0.0000 3.7340 3.7340 3.7340 0.0000 3.7340 3.7340 3.7340 0.0000" Properties=species:S:1:pos:R:3 pbc="T T T"
Sr 3.7340 3.7340 3.7340
Se 1.8670 1.8670 1.8670
Se 5.6011 5.6011 5.6011
Na 0.0000 0.0000 0.0000
```

=====

Record 2
Compound: NaSrSe2
Source: Alexandria
Functional: PBE-GGA
Structure: relaxed

SG: R3m
ΔE_f (raw) in eV/atom: -1.2427
Total DFT energy (no corrections) in eV per atom: -3.735

Structure (extended XYZ):
```
4
Lattice="4.5398 0.0000 0.0000 2.2699 3.9316 0.0000 2.2699 1.3105 6.5832" Properties=species:S:1:pos:R:3 pbc="T T T"
Na 4.5398 2.6210 3.4078
Sr 6.8097 3.9316 6.5265
Se 2.2699 1.3105 4.8226
Se 2.2699 1.3105 1.7011
```

=====

Record 3
Compound: NaSrSe2
Source: Alexandria
Functional: PBE-GGA
Structure: relaxed

SG: I-42d
ΔE_f (raw) in eV/atom: -1.1835
Total DFT energy (no corrections) in eV per atom: -3.676

Structure (extended XYZ):
```
8
Lattice="-5.0659 5.4666 2.9975 -4.9810 -5.8717 2.2901 -3.4319 -0.3785 5.6545" Properties=species:S:1:pos:R:3 pbc="T T T"
Sr 0.0000 0.0000 0.0000
Sr -6.7606 2.4428 5.6479
Se -4.5734 2.5089 3.5299
Se -4.6777 -3.0020 3.2630
Se -6.4136 -0.5207 6.2569
Se -11.2929 -0.5533 8.8344
Na -5.0235 -0.2025 2.6438
Na -6.7182 -3.2263 5.2942
```

=====

Record 4
Compound: NaSr2Se2
Source: Alexandria
Functional: PBE-GGA
Structure: relaxed

SG: P4/mbm
Polymorph energy (0 for the lowest one) in meV per atom: 0
ΔE_f (raw) in eV/atom: -1.4602
Total DFT energy (no corrections) in eV per atom: -3.791

Structure (extended XYZ):
```
10
Lattice="8.3906 0.0000 0.0000 0.0000 8.3906 0.0000 0.0000 0.0000 4.1746" Properties=species:S:1:pos:R:3 pbc="T T T"
Sr 1.2877 5.4830 2.0873
Sr 5.4830 7.1029 2.0873
Sr 7.1029 2.9076 2.0873
Sr 2.9076 1.2877 2.0873
Se 2.8954 7.0907 0.0000
Se 7.0907 5.4953 0.0000
Se 5.4953 1.2999 0.0000
Se 1.2999 2.8954 0.0000
Na 0.0000 0.0000 0.0000
Na 4.1953 4.1953 0.0000
```

=====

Record 5
Compound: Na2SrSe
Source: Alexandria
Functional: PBE-GGA
Structure: relaxed

SG: I-42d
ΔE_f (raw) in eV/atom: -0.6591
Total DFT energy (no corrections) in eV per atom: -2.610

Structure (extended XYZ):
```
8
Lattice="10.0027 0.0000 0.0000 0.0000 10.0027 0.0000 5.0013 5.0013 3.0049" Properties=species:S:1:pos:R:3 pbc="T T T"
Sr 0.0000 0.0000 0.0000
Sr 10.0027 5.0013 1.5024
Se 5.0013 5.0013 0.0000
Se 5.0013 10.0027 1.5024
Na 6.4545 2.5007 0.7512
Na 3.5482 7.5020 0.7512
Na 7.5020 8.5495 2.2537
Na 12.5033 11.4558 2.2537
```

=====

Record 6
Compound: Na2SrSe2
Source: Alexandria
Functional: PBE-GGA
Structure: relaxed

SG: I4/mmm
Polymorph energy (0 for the lowest one) in meV per atom: 0
ΔE_f (raw) in eV/atom: -1.2517
Total DFT energy (no corrections) in eV per atom: -3.509

Structure (extended XYZ):
```
5
Lattice="4.2335 0.0000 0.0000 0.0000 4.2335 0.0000 2.1168 2.1168 7.3880" Properties=species:S:1:pos:R:3 pbc="T T T"
Sr 0.0000 0.0000 0.0000
Se 2.1168 2.1168 1.7505
Se 4.2335 4.2335 5.6375
Na 4.2335 2.1168 3.6940
Na 2.1168 4.2335 3.6940
```

=====

Record 7
Compound: NaSr2Se2
Source: Alexandria
Functional: PBE-GGA
Structure: relaxed

SG: I4/mmm
Polymorph energy (0 for the lowest one) in meV per atom: 140
ΔE_f (raw) in eV/atom: -1.3203
Total DFT energy (no corrections) in eV per atom: -3.651

Structure (extended XYZ):
```
5
Lattice="-2.4267 -1.3256 5.3500 -0.6379 -5.7388 -1.7112 4.5417 -4.9259 4.2291" Properties=species:S:1:pos:R:3 pbc="T T T"
Sr 0.2913 -4.8918 5.6993
Sr 1.1858 -7.0984 2.1687
Se 1.9587 -4.3332 3.2044
Se -0.4816 -7.6570 4.6635
Na 0.0000 0.0000 0.0000
```

=====

Record 8
Compound: Na3Sr2TaSe6
Source: Alexandria
Functional: PBE-GGA
Structure: relaxed

SG: C2/m
ΔE_f (raw) in eV/atom: -1.3035
Total DFT energy (no corrections) in eV per atom: -4.644

Structure (extended XYZ):
```
12
Lattice="7.3954 -0.0052 -0.0100 -3.7004 6.4030 -0.0100 -1.2424 -2.1511 6.8910" Properties=species:S:1:pos:R:3 pbc="T T T"
Na -2.4929 4.2713 3.4355
Na 4.9455 -0.0246 3.4355
Na 1.2263 2.1233 3.4355
Sr -0.0093 4.2712 -0.0100
Sr 3.7043 2.1265 -0.0100
Ta 0.0000 0.0000 0.0000
Se 3.5262 2.3988 5.2911
Se 2.6329 4.5589 1.5119
Se -1.0736 1.8478 1.5799
Se 0.3155 4.2531 5.2911
Se -0.1803 -0.3123 5.3591
Se 2.1371 -0.0064 1.5799
```